DFT (PBE) results for a relaxed Re2SbRu crystal.

Calculated values
* E_form (uncorrected): 0.374 eV/atom
* D(E_F): 2.55 states/eV/cell
* symmetry: No. 160

```
4
Lattice="1.463 0.845 8.722 -1.463 0.845 8.722 0.000 -1.690 8.722" Properties=species:S:1:pos:R:3 pbc="T T T"
Re 0.000 0.000 0.000
Re 0.000 0.000 6.619
Sb 0.000 0.000 13.023
Ru 0.000 0.000 19.580
```